# 1
# KZrFe

A relaxed KZrFe crystal (PBE-GGA, Alexandria).

The calculated formation energy is 715 meV/atom. Its energy above the most stable polymorph in this dataset is 0.115 eV per atom. Its space group is P3m1.

a b c (Å): 3.4045 3.4045 7.8038
angles (deg): 90.00 90.00 120.00
Each line ends with the local moment (μB).
Atoms (fractional coordinates):
Fe (0.0000, 0.0000, 0.9509)  1.75
K (0.3333, 0.6667, 0.2991)  0.00
Zr (0.6667, 0.3333, 0.7499)  -0.45

---

# 2
# CoSb2IN

A relaxed CoSb2IN crystal (PBE-GGA, Alexandria).

Its formation energy from raw total energies is 1.138 eV per atom. Its energy above the most stable polymorph in this dataset is 0.000 eV per atom. Its space group is P4/mmm.

a b c (Å): 4.7386 4.7386 4.7015
angles (deg): 90.00 90.00 90.00
Each line ends with the local moment (μB).
Atoms (fractional coordinates):
I (0.0000, 0.0000, 0.5000)  0.04
Sb (0.0000, 0.5000, 0.0000)  -0.03
Sb (0.5000, 0.0000, 0.0000)  -0.03
Co (0.5000, 0.5000, 0.5000)  1.79
N (0.0000, 0.0000, 0.0000)  -0.01

---

Q: Among the records above, which one has the lowest energy above the most stable polymorph in this dataset?
A: CoSb2IN